# CrPCl2F

Crystalline CrPCl2F at its relaxed geometry (PBE+U, Alexandria via LeMat-Bulk).

Results
**E above lowest polymorph**: 0 kJ/mol of formula units
**SG**: No. 123

extended XYZ file:
```
5
Lattice="5.3835 0.0000 0.0000 0.0000 5.3835 0.0000 0.0000 0.0000 3.6014" Properties=species:S:1:pos:R:3 pbc="T T T"
Cr 0.0000 0.0000 0.0000
P 2.6917 2.6917 0.0000
Cl 0.0000 2.6917 1.8007
Cl 2.6917 0.0000 1.8007
F 2.6917 2.6917 1.8007
```